[1]
First-principles (GGA-PBEsol) data for RbGaCl4 after structural relaxation, as listed in Alexandria via LeMat-Bulk.

abc: 11.202 7.020 9.266
angles: 90.00 90.00 90.00
Space group Pnma (No. 62)
Symmetry-distinct sites (fractional):
Rb 0.181 0.250 0.164 (multiplicity 4)
Ga 0.062 0.250 0.691 (multiplicity 4)
Cl 0.083 0.502 0.828 (multiplicity 8)
Cl 0.116 0.750 0.401 (multiplicity 4)
Cl 0.205 0.250 0.532 (multiplicity 4)

## Properties
For the density of states at the Fermi level, the calculation gives 0.00 states/eV per cell. For the electronic total energy, the calculation gives -85.07 eV for the cell shown. The calculation puts the total moment at 0.0 μB/f.u.

***

[2]
First-principles (GGA-PBEsol) data for RbGa2Cl after structural relaxation, as listed in Alexandria via LeMat-Bulk.

abc: 7.633 7.633 7.633
angles: 90.00 90.00 90.00
Space group Fm-3m (No. 225)
Symmetry-distinct sites (fractional):
Rb 0.000 0.000 0.000 (multiplicity 4)
Ga 0.250 0.250 0.250 (multiplicity 8)
Cl 0.000 0.000 0.500 (multiplicity 4)

## Properties
For the density of states at the Fermi level, the calculation gives 15.50 states/eV per cell. For the electronic total energy, the calculation gives -37.26 eV for the cell shown. The calculation puts the total moment at 0.0 μB/f.u.

***

[3]
First-principles (GGA-PBEsol) data for Rb3GaCl6 after structural relaxation, as listed in Alexandria via LeMat-Bulk.

abc: 10.739 10.739 10.739
angles: 90.00 90.00 90.00
Space group Fm-3m (No. 225)
Symmetry-distinct sites (fractional):
Rb 0.000 0.000 0.000 (multiplicity 4)
Rb 0.250 0.250 0.250 (multiplicity 8)
Ga 0.000 0.000 0.500 (multiplicity 4)
Cl 0.000 0.000 0.280 (multiplicity 24)

## Properties
For the density of states at the Fermi level, the calculation gives 0.00 states/eV per cell. For the electronic total energy, the calculation gives -137.57 eV for the cell shown. The calculation puts the total moment at 0.0 μB/f.u.

***

[4]
First-principles (GGA-PBEsol) data for RbGa3Cl after structural relaxation, as listed in Alexandria via LeMat-Bulk.

abc: 5.427 5.427 5.427
angles: 90.00 90.00 90.00
Space group Pm-3m (No. 221)
Symmetry-distinct sites (fractional):
Rb 0.000 0.000 0.000 (multiplicity 1)
Ga 0.000 0.500 0.500 (multiplicity 3)
Cl 0.500 0.500 0.500 (multiplicity 1)

## Properties
For the density of states at the Fermi level, the calculation gives 2.01 states/eV per cell. For the electronic total energy, the calculation gives -12.37 eV for the cell shown. The calculation puts the total moment at 0.0 μB/f.u.

***

[5]
First-principles (GGA-PBEsol) data for GaRe3Cl after structural relaxation, as listed in Alexandria via LeMat-Bulk.

abc: 4.314 4.314 4.314
angles: 90.00 90.00 90.00
Space group Pm-3m (No. 221)
Symmetry-distinct sites (fractional):
Ga 0.000 0.000 0.000 (multiplicity 1)
Re 0.000 0.500 0.500 (multiplicity 3)
Cl 0.500 0.500 0.500 (multiplicity 1)

## Properties
For the density of states at the Fermi level, the calculation gives 5.05 states/eV per cell. For the electronic total energy, the calculation gives -36.56 eV for the cell shown. The calculation puts the total moment at 0.0 μB/f.u.

***

[6]
First-principles (GGA-PBEsol) data for GaReRuCl2 after structural relaxation, as listed in Alexandria via LeMat-Bulk.

abc: 4.556 4.556 5.067
angles: 90.00 90.00 90.00
Space group P4/mmm (No. 123)
Symmetry-distinct sites (fractional):
Ga 0.000 0.000 0.000 (multiplicity 1)
Re 0.500 0.500 0.000 (multiplicity 1)
Ru 0.000 0.000 0.500 (multiplicity 1)
Cl 0.000 0.500 0.500 (multiplicity 2)

## Properties
For the density of states at the Fermi level, the calculation gives 5.78 states/eV per cell. For the electronic total energy, the calculation gives -24.13 eV for the cell shown. The calculation puts the total moment at 5.6 μB/f.u.

***

[7]
First-principles (GGA-PBEsol) data for Ga3RhCl after structural relaxation, as listed in Alexandria via LeMat-Bulk.

abc: 4.705 4.705 4.705
angles: 90.00 90.00 90.00
Space group Pm-3m (No. 221)
Symmetry-distinct sites (fractional):
Ga 0.000 0.000 0.500 (multiplicity 3)
Rh 0.500 0.500 0.500 (multiplicity 1)
Cl 0.000 0.000 0.000 (multiplicity 1)

## Properties
For the density of states at the Fermi level, the calculation gives 3.77 states/eV per cell. For the electronic total energy, the calculation gives -15.86 eV for the cell shown. The calculation puts the total moment at 0.0 μB/f.u.

***

[8]
First-principles (GGA-PBEsol) data for GaRuS2Cl after structural relaxation, as listed in Alexandria via LeMat-Bulk.

abc: 4.622 4.622 4.624
angles: 90.00 90.00 90.00
Space group P4/mmm (No. 123)
Symmetry-distinct sites (fractional):
Ga 0.000 0.000 0.000 (multiplicity 1)
Ru 0.500 0.500 0.500 (multiplicity 1)
S 0.000 0.500 0.000 (multiplicity 2)
Cl 0.000 0.000 0.500 (multiplicity 1)

## Properties
For the density of states at the Fermi level, the calculation gives 5.33 states/eV per cell. For the electronic total energy, the calculation gives -20.50 eV for the cell shown. The calculation puts the total moment at 3.7 μB/f.u.

***

[9]
First-principles (GGA-PBEsol) data for GaTeS2Cl after structural relaxation, as listed in Alexandria via LeMat-Bulk.

abc: 5.035 5.035 5.221
angles: 90.00 90.00 90.00
Space group P4/mmm (No. 123)
Symmetry-distinct sites (fractional):
Ga 0.000 0.000 0.000 (multiplicity 1)
Te 0.500 0.500 0.500 (multiplicity 1)
S 0.000 0.500 0.500 (multiplicity 2)
Cl 0.500 0.500 0.000 (multiplicity 1)

## Properties
For the density of states at the Fermi level, the calculation gives 1.37 states/eV per cell. For the electronic total energy, the calculation gives -17.19 eV for the cell shown. The calculation puts the total moment at 0.0 μB/f.u.

***

[10]
First-principles (GGA-PBEsol) data for TiGaS2Cl after structural relaxation, as listed in Alexandria via LeMat-Bulk.

abc: 4.684 4.684 4.532
angles: 90.00 90.00 90.00
Space group P4/mmm (No. 123)
Symmetry-distinct sites (fractional):
Ti 0.000 0.000 0.000 (multiplicity 1)
Ga 0.500 0.500 0.500 (multiplicity 1)
S 0.000 0.500 0.500 (multiplicity 2)
Cl 0.500 0.500 0.000 (multiplicity 1)

## Properties
For the density of states at the Fermi level, the calculation gives 5.77 states/eV per cell. For the electronic total energy, the calculation gives -22.77 eV for the cell shown. The calculation puts the total moment at 1.7 μB/f.u.

***

[11]
First-principles (GGA-PBEsol) data for GaWS2Cl after structural relaxation, as listed in Alexandria via LeMat-Bulk.

abc: 4.610 4.610 4.982
angles: 90.00 90.00 90.00
Space group P4/mmm (No. 123)
Symmetry-distinct sites (fractional):
Ga 0.000 0.000 0.000 (multiplicity 1)
W 0.500 0.500 0.500 (multiplicity 1)
S 0.000 0.500 0.500 (multiplicity 2)
Cl 0.500 0.500 0.000 (multiplicity 1)

## Properties
For the density of states at the Fermi level, the calculation gives 2.52 states/eV per cell. For the electronic total energy, the calculation gives -28.72 eV for the cell shown. The calculation puts the total moment at 0.0 μB/f.u.

***

[12]
First-principles (GGA-PBEsol) data for GaSbCl2 after structural relaxation, as listed in Alexandria via LeMat-Bulk.

abc: 7.065 7.065 7.065
angles: 90.00 90.00 90.00
Space group Fm-3m (No. 225)
Symmetry-distinct sites (fractional):
Ga 0.000 0.000 0.000 (multiplicity 4)
Sb 0.000 0.000 0.500 (multiplicity 4)
Cl 0.250 0.250 0.250 (multiplicity 8)

## Properties
For the density of states at the Fermi level, the calculation gives 13.69 states/eV per cell. For the electronic total energy, the calculation gives -48.91 eV for the cell shown. The value obtained for the energy above the most stable polymorph in this dataset is 138.3 kJ/mol of formula units. The calculation puts the total moment at 0.0 μB/f.u.

***

[13]
First-principles (GGA-PBEsol) data for GaSb3Cl after structural relaxation, as listed in Alexandria via LeMat-Bulk.

abc: 5.297 5.297 5.297
angles: 90.00 90.00 90.00
Space group Pm-3m (No. 221)
Symmetry-distinct sites (fractional):
Ga 0.000 0.000 0.000 (multiplicity 1)
Sb 0.000 0.500 0.500 (multiplicity 3)
Cl 0.500 0.500 0.500 (multiplicity 1)

## Properties
For the density of states at the Fermi level, the calculation gives 5.87 states/eV per cell. For the electronic total energy, the calculation gives -15.37 eV for the cell shown. The calculation puts the total moment at 0.0 μB/f.u.